Record 1
A plane-wave DFT calculation with GGA-PBE was carried out for a relaxed TiBeZn2 crystal.

a = 6.793 Å, b = 6.793 Å, c = 5.088 Å
α = 90.00°, β = 90.00°, γ = 90.00°
Space group I-42d (No. 122)
Asymmetric unit:
Ti  0.000  0.000  0.000 [4 per cell]
Be  0.000  0.000  0.500 [4 per cell]
Zn  0.201  0.250  0.625 [8 per cell]

Summary:
crystal system	tetragonal
raw total energy	-13.2	eV/f.u.
calculated formation energy	0.25	eV/atom

---

Record 2
A plane-wave DFT calculation with GGA-PBE was carried out for a relaxed LaTl2Zn crystal.

a = 4.646 Å, b = 4.646 Å, c = 21.936 Å
α = 90.00°, β = 90.00°, γ = 90.00°
Space group I-42d (No. 122)
Asymmetric unit:
La  0.000  0.000  0.000 [4 per cell]
Tl  0.218  0.250  0.625 [8 per cell]
Zn  0.000  0.000  0.500 [4 per cell]

Summary:
crystal system	tetragonal
raw total energy	-11.1	eV/f.u.
calculated formation energy	-0.05	eV/atom